VASP calculation (GGA-PBE) on a relaxed Ca3Ac2Tl2 crystal.

Computed properties:
* Fermi-level density of states: 5.3 states/eV per cell
* symmetry: C2/m, No. 12
* formation energy from the elements: -249 meV per atom

```
Ca3Ac2Tl2
1.0
5.838 0.000 0.000
-2.919 5.034 -0.354
0.000 -2.762 8.889
Ca Tl Ac
3 2 2
Direct
0.644 0.288 0.432
0.500 0.000 0.000
0.356 0.712 0.568
0.768 0.536 0.806
0.232 0.464 0.194
0.096 0.191 0.788
0.904 0.809 0.212
```